Below is a relaxed structure of Pu2ThPt3, with properties calculated at the PBE-GGA level. Values from VASP.

Geometry as Quantum ESPRESSO input:
```
&SYSTEM
  ibrav = 0, nat = 6, ntyp = 3
/
ATOMIC_SPECIES
Pt 195.08 Pt.upf
Pu 244.00 Pu.upf
Th 232.04 Th.upf
CELL_PARAMETERS angstrom
-3.588 7.725 3.246
-5.039 7.228 -2.336
1.912 -8.908 0.297
ATOMIC_POSITIONS angstrom
Pt -7.163 12.416 0.755
Pu -5.751 9.968 0.606
Pu -2.876 4.985 0.303
Pt -4.314 7.477 0.455
Th 0.000 0.000 0.000
Pt -1.464 2.537 0.154
```

Values from the calculation:
E_form (eV per atom): -0.1723
Total magnetic moment (μB per formula unit): 0.3
Total DFT energy (no corrections) (eV per atom): -9.21
D(E_F) (states/eV/atom): 4.810
Crystal system: tetragonal